LaBiTe2O | the Alexandria database | PBE-GGA | optimized geometry; total magnetic moment = 0.00 μB/f.u.; energy relative to the elements, uncorrected = -1563 meV/atom; space-group type = P4/nmm; excess energy over the best structure of this formula in the dataset = 0 meV per atom; energy = -55.7 eV/cell; crystal system = tetragonal
1.0
-2.4984 -3.3338 -1.0628
2.9942 -1.3612 -2.7690
6.8122 -8.8390 11.7115
La Bi Te O
2 2 4 2
Direct
0.0000 0.5000 0.4292
0.5000 0.0000 0.5708
0.0000 0.5000 0.8602
0.5000 0.0000 0.1398
0.5000 0.0000 0.3184
0.0000 0.5000 0.0906
0.0000 0.5000 0.6816
0.5000 0.0000 0.9094
0.0000 0.0000 0.5000
0.5000 0.5000 0.5000